Entry 1:
VASP calculation (PBE) on Tb2Pm2S5 after structural relaxation.

Output
Mass density (g/cm3): 5.539
Fermi-level density of states (states/eV per atom): 0.45
Raw formation energy (eV per atom): -1.803
Total DFT energy (no corrections) (hartree per atom): -0.227

```
18
Lattice="7.2840 0.0000 0.0000 0.0000 7.4069 0.0000 -3.6420 -3.7035 8.5375" Properties=species:S:1:pos:R:3 pbc="T T T"
Tb 0.0000 7.1795 0.0000
Tb 3.6420 3.4760 0.0000
Tb -0.2477 0.7158 4.2687
Tb 3.8897 4.4192 4.2687
Pm 0.0700 3.9531 1.8045
Pm 3.5720 0.2496 6.7330
Pm 3.5720 0.2496 1.8045
Pm 0.0699 3.9531 6.7330
S -1.5043 1.7693 7.5051
S 5.1463 5.4728 1.0324
S -2.1377 -1.9341 7.5051
S 5.7797 1.7693 1.0324
S 1.0671 -0.8358 2.4724
S 2.5749 2.8677 6.0650
S 2.5749 2.8677 2.4724
S 1.0671 -0.8358 6.0650
S -1.0038 3.3376 4.2687
S 4.6458 -0.3659 4.2687
```


Entry 2:
VASP calculation (PBE) on TlReP2 after structural relaxation.

Output
Mass density (g/cm3): 11.178
Fermi-level density of states (states/eV per atom): 1.15
Energy relative to the lowest polymorph listed for this composition (meV per atom): 1021
ΔH_f (0 K) (eV per formula unit): 4.13
Total DFT energy (no corrections) (hartree per atom): -0.198

```
4
Lattice="4.5889 0.0000 0.0000 0.0000 4.5889 0.0000 0.0000 0.0000 3.1923" Properties=species:S:1:pos:R:3 pbc="T T T"
P 0.0000 0.0000 0.0000
P 2.2945 2.2945 0.0000
Re 2.2945 0.0000 1.5962
Tl 0.0000 2.2945 1.5962
```


Entry 3:
VASP calculation (PBE) on Re2NiAu after structural relaxation.

Output
Mass density (g/cm3): 17.651
Fermi-level density of states (states/eV per atom): 0.87
Energy relative to the lowest polymorph listed for this composition (meV per atom): 106
ΔH_f (0 K) (eV per formula unit): 1.22
Total DFT energy (no corrections) (hartree per atom): -0.301

```
4
Lattice="4.7455 0.0161 -0.0076 3.9832 2.5796 -0.0076 0.7159 0.2129 4.8510" Properties=species:S:1:pos:R:3 pbc="T T T"
Au 4.7397 1.4095 2.3338
Ni 2.4198 0.7196 1.1937
Re 9.3528 2.7814 4.8080
Re 7.0991 2.1112 3.7537
```